Tb10SmTm6 | PBE-GGA | relaxed

Results
Total DFT energy (no corrections) (eV per atom): -4.448
Symmetry: P-31m, No. 162
Energy relative to the elements (kJ/mol of formula units): 215
Volume (A^3/atom): 31.96

Cell lengths 9.6289, 9.6289, 6.7675 Å; angles 90.00, 90.00, 120.00 degrees
Atoms (fractional coordinates):
Tb: 0.0000 0.2777 0.3172
Tb: 0.0000 0.7223 0.6828
Tb: 0.2777 0.0000 0.3172
Tb: 0.2777 0.2777 0.6828
Tb: 0.3333 0.6667 0.0000
Tb: 0.3333 0.6667 0.5000
Tb: 0.6667 0.3333 0.0000
Tb: 0.6667 0.3333 0.5000
Tb: 0.7223 0.0000 0.6828
Tb: 0.7223 0.7223 0.3172
Sm: 0.0000 0.0000 0.0000
Tm: 0.0000 0.3747 0.8061
Tm: 0.0000 0.6253 0.1939
Tm: 0.3747 0.0000 0.8061
Tm: 0.3747 0.3747 0.1939
Tm: 0.6253 0.0000 0.1939
Tm: 0.6253 0.6253 0.8061